Computed, not measured: a geometry-optimized Ba2MoO3F4 structure at the PBE with a Hubbard U level of DFT.

As for the crystal system: monoclinic. As for the magnetic moment: 0.0 μB per formula unit. The total DFT energy (no corrections) is -6.2741 eV per atom. As for the volume: 658.64 Å³ per cell.

It has space group Cc (No. 9), with a = 11.6218 Å, b = 9.5944 Å, c = 7.2818 Å, α = 90.00°, β = 125.79° and γ = 90.00°. The inequivalent atoms are Ba at (0.0000, 0.1166, 0.0000), Ba at (0.2903, 0.1797, 0.8188), Mo at (0.1150, 0.4683, 0.9459), O at (0.1296, 0.4378, 0.7033), O at (0.2156, 0.3189, 0.1044), O at (0.4415, 0.0930, 0.3220), F at (0.0330, 0.3336, 0.3026), F at (0.1813, 0.0351, 0.4424), F at (0.3099, 0.4147, 0.6025) and F at (0.4960, 0.3499, 0.1197).